Below is a relaxed structure of Ac2ErCd4, with properties calculated at the PBE-GGA level.

Cell lengths 5.544, 5.544, 8.323 Å; angles 109.46, 109.46, 90.00 degrees
Sites, in units of the cell vectors:
Cd: 0.398 0.898 0.795
Er: 0.000 0.000 0.000
Cd: 0.898 0.398 0.795
Cd: 0.102 0.602 0.205
Cd: 0.602 0.102 0.205
Ac: 0.737 0.737 0.475
Ac: 0.263 0.263 0.525

Electronic total energy (eV for the cell shown): -17.52
SG: I4/mmm (139)
E_form (eV per atom): -0.154
Calculated volume (Å³ per atom): 32.24